No. 1
# GaSnHg3

A relaxed GaSnHg3 crystal (GGA-PBE, the Alexandria database).

Output
ΔE_f   0.348 eV/atom
Space group   No. 221
Density of states at the Fermi level   0.729 states/eV per atom

a = 5.6707 Å, b = 5.6707 Å, c = 5.6707 Å
α = 90.00°, β = 90.00°, γ = 90.00°
Last column: nearest neighbours and their distance in Å.
Sites, in units of the cell vectors:
Hg: 0.0000 0.5000 0.0000  2 Sn 2.84
Hg: 0.0000 0.0000 0.5000  2 Sn 2.84
Hg: 0.5000 0.0000 0.0000  2 Sn 2.84
Ga: 0.5000 0.5000 0.5000  12 Hg 4.01
Sn: 0.0000 0.0000 0.0000  6 Hg 2.84


No. 2
# GaSn4Hg

A relaxed GaSn4Hg crystal (GGA-PBE, the Alexandria database).

Output
ΔE_f   0.062 eV/atom
Space group   No. 12
Density of states at the Fermi level   0.341 states/eV per atom

a = 5.6248 Å, b = 6.1274 Å, c = 6.1274 Å
α = 94.74°, β = 116.54°, γ = 116.54°
Last column: nearest neighbours and their distance in Å.
Sites, in units of the cell vectors:
Ga: 0.5000 0.0000 0.5000  2 Hg 3.12, 4 Sn 3.34
Sn: 0.2496 0.4222 0.5759  5 Sn 3.11-3.14, 1 Hg 3.33, 1 Ga 3.34
Sn: 0.2496 0.0759 0.9222  5 Sn 3.11-3.14, 1 Hg 3.33, 1 Ga 3.34
Sn: 0.7504 0.9241 0.0778  5 Sn 3.11-3.14, 1 Hg 3.33, 1 Ga 3.34
Sn: 0.7504 0.5778 0.4241  5 Sn 3.11-3.14, 1 Hg 3.33, 1 Ga 3.34
Hg: 0.0000 0.5000 0.0000  2 Ga 3.12, 4 Sn 3.33


No. 3
# GaSn4Hg

A relaxed GaSn4Hg crystal (GGA-PBE, the Alexandria database).

Output
ΔE_f   0.195 eV/atom
Space group   No. 216
Density of states at the Fermi level   0.667 states/eV per atom

a = 6.2292 Å, b = 6.2292 Å, c = 6.2292 Å
α = 60.00°, β = 60.00°, γ = 60.00°
Last column: nearest neighbours and their distance in Å.
Sites, in units of the cell vectors:
Hg: 0.0000 0.0000 0.0000  12 Sn 3.65, 4 Ga 3.81
Ga: 0.2500 0.2500 0.2500  12 Sn 3.65, 4 Hg 3.81
Sn: 0.6248 0.6248 0.1255  6 Sn 3.11-3.12
Sn: 0.6248 0.1255 0.6248  6 Sn 3.11-3.12
Sn: 0.6248 0.6248 0.6248  6 Sn 3.11-3.12
Sn: 0.1255 0.6248 0.6248  6 Sn 3.11-3.12


No. 4
# Ga2Sn2Hg

A relaxed Ga2Sn2Hg crystal (GGA-PBE, the Alexandria database).

Output
ΔE_f   0.074 eV/atom
Space group   No. 127
Density of states at the Fermi level   0.574 states/eV per atom

a = 8.5933 Å, b = 8.5933 Å, c = 3.3387 Å
α = 90.00°, β = 90.00°, γ = 90.00°
Last column: nearest neighbours and their distance in Å.
Sites, in units of the cell vectors:
Hg: 0.0000 0.0000 0.0000  4 Sn 3.24, 2 Hg 3.34
Hg: 0.5000 0.5000 0.0000  4 Sn 3.24, 2 Hg 3.34
Ga: 0.1385 0.6385 0.5000  6 Sn 2.99-3.05, 2 Ga 3.34
Ga: 0.6385 0.8615 0.5000  6 Sn 2.99-3.05, 2 Ga 3.34
Ga: 0.8615 0.3615 0.5000  6 Sn 2.99-3.05, 2 Ga 3.34
Ga: 0.3615 0.1385 0.5000  6 Sn 2.99-3.05, 2 Ga 3.34
Sn: 0.3423 0.8423 0.0000  6 Ga 2.99-3.05, 2 Hg 3.24, 2 Sn 3.34
Sn: 0.8423 0.6577 0.0000  6 Ga 2.99-3.05, 2 Hg 3.24, 2 Sn 3.34
Sn: 0.6577 0.1577 0.0000  6 Ga 2.99-3.05, 2 Hg 3.24, 2 Sn 3.34
Sn: 0.1577 0.3423 0.0000  6 Ga 2.99-3.05, 2 Hg 3.24, 2 Sn 3.34


No. 5
# GaSnHg

A relaxed GaSnHg crystal (GGA-PBE, the Alexandria database).

Output
ΔE_f   0.067 eV/atom
Space group   No. 12
Density of states at the Fermi level   0.241 states/eV per atom

a = 4.2210 Å, b = 5.4167 Å, c = 6.8252 Å
α = 98.52°, β = 108.01°, γ = 90.00°
Last column: nearest neighbours and their distance in Å.
Sites, in units of the cell vectors:
Ga: 0.7726 0.1993 0.5453  3 Hg 2.96-3.28, 4 Sn 2.98-3.09, 2 Ga 3.01
Ga: 0.2274 0.8007 0.4547  3 Hg 2.96-3.28, 4 Sn 2.98-3.09, 2 Ga 3.01
Hg: 0.4341 0.2343 0.8681  3 Ga 2.96-3.28, 2 Hg 3.11-3.28, 2 Sn 3.16
Hg: 0.5659 0.7657 0.1319  3 Ga 2.96-3.28, 2 Hg 3.11-3.28, 2 Sn 3.16
Sn: 0.1173 0.2664 0.2345  4 Ga 2.98-3.09, 2 Hg 3.16
Sn: 0.8827 0.7336 0.7655  4 Ga 2.98-3.09, 2 Hg 3.16


No. 6
# Ga3SnHg

A relaxed Ga3SnHg crystal (GGA-PBE, the Alexandria database).

Output
ΔE_f   0.462 eV/atom
Space group   No. 221
Density of states at the Fermi level   1.036 states/eV per atom

a = 5.1997 Å, b = 5.1997 Å, c = 5.1997 Å
α = 90.00°, β = 90.00°, γ = 90.00°
Last column: nearest neighbours and their distance in Å.
Sites, in units of the cell vectors:
Hg: 0.0000 0.0000 0.0000  6 Ga 2.60
Ga: 0.0000 0.5000 0.0000  2 Hg 2.60
Ga: 0.0000 0.0000 0.5000  2 Hg 2.60
Ga: 0.5000 0.0000 0.0000  2 Hg 2.60
Sn: 0.5000 0.5000 0.5000  12 Ga 3.68


No. 7
# Ga3SnHg

A relaxed Ga3SnHg crystal (GGA-PBE, the Alexandria database).

Output
ΔE_f   0.057 eV/atom
Space group   No. 2
Density of states at the Fermi level   0.289 states/eV per atom

a = 6.5819 Å, b = 6.9137 Å, c = 6.1667 Å
α = 125.20°, β = 85.01°, γ = 92.04°
Last column: nearest neighbours and their distance in Å.
Sites, in units of the cell vectors:
Ga: 0.8116 0.5384 0.6394  3 Ga 2.77-2.94, 2 Sn 2.92-3.03, 1 Hg 2.95
Ga: 0.3105 0.9510 0.5765  4 Ga 2.70-2.94, 1 Hg 2.83, 1 Sn 2.99
Ga: 0.1884 0.4616 0.3606  3 Ga 2.77-2.94, 2 Sn 2.92-3.03, 1 Hg 2.95
Ga: 0.6895 0.0490 0.4235  4 Ga 2.70-2.94, 1 Hg 2.83, 1 Sn 2.99
Ga: 0.0353 0.7346 0.2076  4 Ga 2.70-2.86, 1 Hg 2.80, 1 Sn 3.00
Ga: 0.9647 0.2654 0.7924  4 Ga 2.70-2.86, 1 Hg 2.80, 1 Sn 3.00
Sn: 0.6235 0.5452 0.2315  6 Ga 2.92-3.07, 1 Sn 3.14, 1 Hg 3.27
Sn: 0.3765 0.4548 0.7685  6 Ga 2.92-3.07, 1 Sn 3.14, 1 Hg 3.27
Hg: 0.0000 0.0000 0.0000  6 Ga 2.80-3.04
Hg: 0.5000 0.0000 0.0000  2 Ga 2.83


No. 8
# Ga14SnHg

A relaxed Ga14SnHg crystal (GGA-PBE, the Alexandria database).

Output
ΔE_f   0.059 eV/atom
Space group   No. 38
Density of states at the Fermi level   0.388 states/eV per atom

a = 8.4431 Å, b = 8.4431 Å, c = 5.6163 Å
α = 90.00°, β = 90.00°, γ = 122.48°
Last column: nearest neighbours and their distance in Å.
Sites, in units of the cell vectors:
Ga: 0.1769 0.8231 0.0000  6 Ga 2.75-2.76
Ga: 0.7375 0.2625 0.0000  6 Ga 2.70-2.72
Ga: 0.0180 0.4314 0.5000  6 Ga 2.75-2.76
Ga: 0.2428 0.3172 0.0000  6 Ga 2.84-2.90
Ga: 0.5686 0.9820 0.5000  6 Ga 2.75-2.76
Ga: 0.6828 0.7572 0.0000  6 Ga 2.84-2.90
Ga: 0.4159 0.1480 0.7541  6 Ga 2.72-2.89, 1 Hg 2.91, 1 Sn 2.92
Ga: 0.4159 0.1480 0.2459  6 Ga 2.72-2.89, 1 Hg 2.91, 1 Sn 2.92
Ga: 0.8520 0.5841 0.7541  6 Ga 2.72-2.89, 1 Hg 2.91, 1 Sn 2.92
Ga: 0.8520 0.5841 0.2459  6 Ga 2.72-2.89, 1 Hg 2.91, 1 Sn 2.92
Ga: 0.3391 0.6609 0.7572  7 Ga 2.73-2.90, 1 Sn 2.92
Ga: 0.3391 0.6609 0.2428  7 Ga 2.73-2.90, 1 Sn 2.92
Ga: 0.8944 0.1056 0.7562  7 Ga 2.70-2.88, 1 Hg 2.85
Ga: 0.8944 0.1056 0.2438  7 Ga 2.70-2.88, 1 Hg 2.85
Sn: 0.5104 0.4896 0.5000  6 Ga 2.92
Hg: 0.0602 0.9398 0.5000  6 Ga 2.85-2.91


Repeat the first record exactly.
# GaSnHg3

A relaxed GaSnHg3 crystal (GGA-PBE, the Alexandria database).

Output
ΔE_f   0.348 eV/atom
Space group   No. 221
Density of states at the Fermi level   0.729 states/eV per atom

a = 5.6707 Å, b = 5.6707 Å, c = 5.6707 Å
α = 90.00°, β = 90.00°, γ = 90.00°
Last column: nearest neighbours and their distance in Å.
Sites, in units of the cell vectors:
Hg: 0.0000 0.5000 0.0000  2 Sn 2.84
Hg: 0.0000 0.0000 0.5000  2 Sn 2.84
Hg: 0.5000 0.0000 0.0000  2 Sn 2.84
Ga: 0.5000 0.5000 0.5000  12 Hg 4.01
Sn: 0.0000 0.0000 0.0000  6 Hg 2.84


The highest density of states at the Fermi level belongs to which entry? number 6